Entry 1:
A relaxed structure of Er6Sc12Sn, computed with GGA-PBE.

a = 11.6358 Å, b = 11.6358 Å, c = 12.9964 Å
α = 90.00°, β = 90.00°, γ = 120.00°
Last column: nearest neighbours and their distance in Å.
Space group R-3 (No. 148, hexagonal axes)
Symmetry-distinct sites (fractional):
Er1 0.0268 0.4323 0.2139  9 Sc 3.14-3.51, 1 Sn 3.29, 2 Er 3.46
Sc1 0.0524 0.1815 0.3082  4 Sc 2.99-3.26, 1 Sn 3.12, 3 Er 3.29-3.35
Sc2 0.0636 0.8729 0.9032  3 Sc 2.99-3.19, 2 Er 3.14-3.34
Sn1 0.0000 0.0000 0.5000  6 Sc 3.12, 6 Er 3.29

Summary:
- ΔH_f (0 K) (eV per atom) = 0.066
- E_tot (eV per cell) = -318.34



Entry 2:
A relaxed structure of Er3Sc7Sn2, computed with GGA-PBE.

a = 6.1902 Å, b = 6.1902 Å, c = 29.4690 Å
α = 90.00°, β = 90.00°, γ = 120.00°
Last column: nearest neighbours and their distance in Å.
Space group R-3m (No. 166, hexagonal axes)
Symmetry-distinct sites (fractional):
Er1 0.0000 0.0000 0.0000  6 Sn 3.57, 12 Sc 3.92
Er2 0.0000 0.0000 0.1437  12 Sc 3.60-3.65, 3 Er 3.82
Sc1 0.0000 0.0000 0.5000  6 Sc 3.08
Sc2 0.9999 0.5000 0.0816  2 Sn 2.99-3.00, 5 Sc 3.08-3.10
Sn1 0.0000 0.0000 0.3334  6 Sc 2.99-3.00

Summary:
- ΔH_f (0 K) (eV per atom) = -0.076
- E_tot (eV per cell) = -200.77



Entry 3:
A relaxed structure of ErSc2Sn, computed with GGA-PBE.

a = 3.3120 Å, b = 3.3120 Å, c = 33.5483 Å
α = 90.00°, β = 90.00°, γ = 120.00°
Last column: nearest neighbours and their distance in Å.
Space group R-3m (No. 166, hexagonal axes)
Symmetry-distinct sites (fractional):
Er1 0.0000 0.0000 0.0000  2 Sc 3.18, 6 Er 3.31
Sc1 0.0000 0.0000 0.0948  3 Sn 3.08, 1 Er 3.18, 6 Sc 3.31
Sn1 0.0000 0.0000 0.5000  6 Sc 3.08, 6 Sn 3.31

Summary:
- ΔH_f (0 K) (eV per atom) = 0.038
- E_tot (eV per cell) = -63.23
- excess energy over the best structure of this formula in the dataset (meV/atom) = 490



Entry 4:
A relaxed structure of Er2ScSn, computed with GGA-PBE.

a = 4.0606 Å, b = 4.0606 Å, c = 6.4318 Å
α = 90.00°, β = 90.00°, γ = 90.00°
Last column: nearest neighbours and their distance in Å.
Space group P4/mmm (No. 123)
Symmetry-distinct sites (fractional):
Er1 0.0000 0.0000 0.2427  2 Er 3.12-3.31, 4 Sn 3.27, 4 Sc 3.31
Sc1 0.5000 0.5000 0.5000  2 Sn 3.22, 8 Er 3.31
Sn1 0.5000 0.5000 0.0000  2 Sc 3.22, 8 Er 3.27

Summary:
- ΔH_f (0 K) (eV per atom) = -0.343
- E_tot (eV per cell) = -20.83
- excess energy over the best structure of this formula in the dataset (meV/atom) = 54



Entry 5:
A relaxed structure of Er2ScSn, computed with GGA-PBE.

a = 4.5132 Å, b = 4.5508 Å, c = 10.1700 Å
α = 90.00°, β = 90.00°, γ = 90.00°
Last column: nearest neighbours and their distance in Å.
Space group Imm2 (No. 44)
Symmetry-distinct sites (fractional):
Er1 0.0000 0.0000 0.0000  4 Sn 3.20, 4 Sc 3.40-3.41, 4 Er 3.40-3.41
Er2 0.0000 0.5000 0.2487  4 Sc 3.20, 4 Sn 3.40-3.42, 4 Er 3.40-3.41
Sc1 0.0000 0.5000 0.7518  8 Er 3.20-3.41, 4 Sn 3.38-3.43
Sn1 0.0000 0.0000 0.4991  8 Er 3.20-3.42, 4 Sc 3.38-3.43

Summary:
- ΔH_f (0 K) (eV per atom) = -0.375
- E_tot (eV per cell) = -41.92
- excess energy over the best structure of this formula in the dataset (meV/atom) = 22



Entry 6:
A relaxed structure of ErSc2Sn, computed with GGA-PBE.

a = 3.6175 Å, b = 3.6175 Å, c = 7.6929 Å
α = 90.00°, β = 90.00°, γ = 90.00°
Last column: nearest neighbours and their distance in Å.
Space group P4/mmm (No. 123)
Symmetry-distinct sites (fractional):
Er1 0.0000 0.0000 0.0000  8 Sc 3.33, 4 Er 3.62
Sc1 0.5000 0.5000 0.2767  4 Sn 3.08, 4 Er 3.33, 1 Sc 3.44
Sn1 0.0000 0.0000 0.5000  8 Sc 3.08

Summary:
- ΔH_f (0 K) (eV per atom) = -0.273
- E_tot (eV per cell) = -22.32
- excess energy over the best structure of this formula in the dataset (meV/atom) = 180